Record 1
# Tm8GaNi2 PBE relaxed
data_Tm8GaNi2
_chemical_formula_sum 'Tm16 Ga2 Ni4'
_cell_length_a 8.415
_cell_length_b 12.955
_cell_length_c 5.261
_cell_angle_alpha 90.00
_cell_angle_beta 105.29
_cell_angle_gamma 90.00
_symmetry_space_group_name_H-M 'C 1 m 1'
_symmetry_Int_Tables_number 8
loop_
_symmetry_equiv_pos_as_xyz
'x,y,z'
'x,-y,z'
'x+1/2,y+1/2,z'
'x+1/2,-y+1/2,z'
loop_
_atom_site_label
_atom_site_fract_x
_atom_site_fract_y
_atom_site_fract_z
Tm1 0.000 0.000 0.000
Tm2 0.087 0.372 0.775
Tm3 0.178 0.128 0.608
Tm4 0.266 0.500 0.383
Tm5 0.383 0.239 0.191
Ga1 0.383 0.000 0.191
Ni1 0.382 0.306 0.691
# Formation energy from the elements (eV/atom): -0.187
# Energy above the most stable polymorph in this dataset (eV/f.u.): 1.14
# E_tot (eV for the cell shown): -104.83

Record 2
# Pm3Zn2Hg4 PBE relaxed
data_Pm3Zn2Hg4
_chemical_formula_sum 'Pm6 Zn4 Hg8'
_cell_length_a 11.035
_cell_length_b 4.858
_cell_length_c 9.075
_cell_angle_alpha 90.00
_cell_angle_beta 116.38
_cell_angle_gamma 90.00
_symmetry_space_group_name_H-M 'C 1 2/m 1'
_symmetry_Int_Tables_number 12
loop_
_symmetry_equiv_pos_as_xyz
'x,y,z'
'-x,-y,-z'
'-x,y,-z'
'x,-y,z'
'x+1/2,y+1/2,z'
'-x+1/2,-y+1/2,-z'
'-x+1/2,y+1/2,-z'
'x+1/2,-y+1/2,z'
loop_
_atom_site_label
_atom_site_fract_x
_atom_site_fract_y
_atom_site_fract_z
Pm1 0.000 0.000 0.000
Pm2 0.162 0.500 0.667
Zn1 0.113 0.500 0.284
Hg1 0.068 0.000 0.391
Hg2 0.212 0.500 0.059
# Formation energy from the elements (eV/atom): -0.419
# E_tot (eV for the cell shown): -43.56